Below is NbVS2Cl after structural relaxation, with properties calculated at the PBE-GGA level.

Output
Polymorph energy (0 for the lowest one) ... 0.000 eV/f.u.
Total magnetic moment ... 5.0 μB/f.u.
Energy ... -28.88 eV/cell
Density of states at the Fermi level ... 4.77 states/eV per cell
ΔE_f (raw) ... 0.4 eV per formula unit

Lattice parameters (Å, degrees): 4.675 4.560 4.675 90.00 90.00 90.00
Site moments in Bohr magnetons follow the coordinates.
Fractional positions:
Nb (0.500, 0.500, 0.500)  2.59
Cl (0.000, 0.500, 0.000)  0.01
S (0.000, 0.000, 0.500)  -0.13
S (0.500, 0.000, 0.000)  -0.15
V (0.000, 0.000, 0.000)  1.89